# GGA-PBE Th8HOs3Se4, optimized geometry
data_Th8HOs3Se4
_cell_length_a 8.1444
_cell_length_b 8.1444
_cell_length_c 22.0074
_cell_angle_alpha 90.00
_cell_angle_beta 90.00
_cell_angle_gamma 120.00
_symmetry_space_group_name_H-M 'R -3 m'
_symmetry_Int_Tables_number 166
_symmetry_space_group_name_Hall '-R 3 2"'
loop_
_atom_site_label
_atom_site_type_symbol
_atom_site_fract_x
_atom_site_fract_y
_atom_site_fract_z
Th1 Th 0.0000 0.0000 0.2387
Th2 Th 0.0044 0.5022 0.7602
H1 H 0.0000 0.0000 0.5000
Os1 Os 0.0000 0.5000 0.5000
Se1 Se 0.0000 0.0000 0.0000
Se2 Se 0.0000 0.5000 0.0000
# E_tot in eV per atom: -7.834
# Density in g/cm³: 10.81

***

# GGA-PBE MgCdPb3, optimized geometry
data_MgCdPb3
_cell_length_a 3.4325
_cell_length_b 6.1846
_cell_length_c 7.1286
_cell_angle_alpha 79.46
_cell_angle_beta 76.39
_cell_angle_gamma 74.78
_symmetry_space_group_name_H-M 'P 1'
_symmetry_Int_Tables_number 1
loop_
_symmetry_equiv_pos_as_xyz
'x,y,z'
loop_
_atom_site_label
_atom_site_type_symbol
_atom_site_fract_x
_atom_site_fract_y
_atom_site_fract_z
Mg1 Mg 0.0000 0.0000 0.0000
Cd1 Cd 0.5938 0.1734 0.6407
Pb1 Pb 0.2003 0.3593 0.2348
Pb2 Pb 0.4077 0.7939 0.3945
Pb3 Pb 0.7916 0.5947 0.8202
# Energy relative to the lowest polymorph listed for this composition in eV per atom: 0.000
# Formation enthalpy at 0 K in kJ/mol of atoms: 1
# Density in g/cm³: 8.95

***

Question: What is the density in the first record?
Answer: 10.81 g/cm³

***

Question: What is the density in the first record?
Answer: 10.81 g/cm³